# 1
MgMn3Sb, optimized geometry, DFT PBE; energy = -28.846 eV/f.u.; spin magnetization = 2.15 μB/atom; D(E_F) = 3.08 states/eV/cell
1.0
-3.088 -2.345 -3.093
2.190 -4.316 1.086
-3.204 -0.690 3.722
Sb Mg Mn
1 1 3
direct
0.000 0.000 0.000
0.500 0.500 0.500
0.000 0.500 0.000
0.000 0.000 0.500
0.500 0.000 0.000

---

# 2
PmThC2, optimized geometry, DFT PBE; energy = -30.241 eV/f.u.; spin magnetization = 0.00 μB/atom; ΔE_f = 0.09 eV per atom; D(E_F) = 3.61 states/eV/cell
1.0
-2.887 -0.216 2.302
-1.531 -3.284 0.743
2.422 -1.892 5.831
Pm Th C
1 1 2
direct
0.497 0.497 0.508
0.667 0.667 0.998
0.079 0.079 0.762
0.256 0.256 0.232

---

# 3
KRbRhPb2, optimized geometry, DFT PBE; energy = -16.799 eV/f.u.; spin magnetization = 0.00 μB/atom; ΔE_f = 0.01 eV per atom; D(E_F) = 4.66 states/eV/cell
1.0
5.364 0.000 0.000
0.000 5.364 0.000
0.000 0.000 6.149
Pb K Rh Rb
2 1 1 1
direct
0.000 0.500 0.000
0.500 0.000 0.000
0.000 0.000 0.500
0.000 0.000 0.000
0.500 0.500 0.500